The following is a DFT calculation (meta-GGA SCAN) of a crystal of KCo4Se relaxed with PBEsol.

a b c (Å): 4.969 4.969 4.969
angles (deg): 60.00 60.00 60.00
Fractional positions:
1 K 0.750 0.750 0.750
2 Co 0.877 0.374 0.374
3 Co 0.374 0.374 0.374
4 Co 0.374 0.877 0.374
5 Co 0.374 0.374 0.877
6 Se 0.000 0.000 0.000

SG ... F-43m, No. 216
D(E_F) ... 0.949 states/eV/atom
Formation energy from raw total energies ... 711.5 meV per atom



The following is a DFT calculation (meta-GGA SCAN) of a crystal of KCoSe2 relaxed with PBEsol.

a b c (Å): 2.752 5.409 5.409
angles (deg): 90.00 90.00 90.00
Fractional positions:
1 Se 0.000 0.500 0.000
2 Se 0.000 0.000 0.500
3 K 0.500 0.000 0.000
4 Co 0.500 0.500 0.500

SG ... P4/mmm, No. 123
D(E_F) ... 0.576 states/eV/atom
Formation energy from raw total energies ... -14.4 meV per atom



The following is a DFT calculation (meta-GGA SCAN) of a crystal of KCo2Se relaxed with PBEsol.

a b c (Å): 3.977 3.977 6.274
angles (deg): 71.52 71.52 60.00
Fractional positions:
1 Co 0.310 0.310 0.069
2 Co 0.987 0.987 0.040
3 K 0.500 0.500 0.499
4 Se 0.694 0.694 0.918

SG ... R3m, No. 160
D(E_F) ... 0.432 states/eV/atom
Formation energy from raw total energies ... 2.0 meV per atom



The following is a DFT calculation (meta-GGA SCAN) of a crystal of KCo2Se relaxed with PBEsol.

a b c (Å): 3.135 3.135 7.357
angles (deg): 90.00 90.00 90.00
Fractional positions:
1 K 0.000 0.000 0.500
2 Co 0.000 0.000 0.016
3 Co 0.500 0.500 0.149
4 Se 0.500 0.500 0.835

SG ... P4mm, No. 99
D(E_F) ... 0.686 states/eV/atom
Formation energy from raw total energies ... 269.5 meV per atom



The following is a DFT calculation (meta-GGA SCAN) of a crystal of KCo2TcSe relaxed with PBEsol.

a b c (Å): 4.369 4.369 5.499
angles (deg): 90.00 90.00 90.00
Fractional positions:
1 Co 0.000 0.500 0.000
2 Co 0.500 0.000 0.000
3 Se 0.500 0.500 0.500
4 K 0.000 0.000 0.500
5 Tc 0.000 0.000 0.000

SG ... P4/mmm, No. 123
D(E_F) ... 0.772 states/eV/atom
Formation energy from raw total energies ... 1372.0 meV per atom



The following is a DFT calculation (meta-GGA SCAN) of a crystal of K2CoSi2 relaxed with PBEsol.

a b c (Å): 3.422 3.422 11.017
angles (deg): 98.93 98.93 90.00
Fractional positions:
1 K 0.392 0.392 0.784
2 K 0.608 0.608 0.216
3 Si 0.750 0.250 0.500
4 Si 0.250 0.750 0.500
5 Co 0.000 0.000 0.000

SG ... I4/mmm, No. 139
D(E_F) ... 0.769 states/eV/atom
Formation energy from raw total energies ... 778.7 meV per atom



The following is a DFT calculation (meta-GGA SCAN) of a crystal of K2SrCoSi relaxed with PBEsol.

a b c (Å): 4.589 6.284 6.284
angles (deg): 90.00 90.00 90.00
Fractional positions:
1 Sr 0.000 0.000 0.000
2 K 0.000 0.500 0.000
3 K 0.000 0.000 0.500
4 Si 0.500 0.500 0.500
5 Co 0.500 0.000 0.000

SG ... P4/mmm, No. 123
D(E_F) ... 0.735 states/eV/atom
Formation energy from raw total energies ... 1394.6 meV per atom



The following is a DFT calculation (meta-GGA SCAN) of a crystal of KCo3Sn relaxed with PBEsol.

a b c (Å): 4.838 4.838 4.838
angles (deg): 90.00 90.00 90.00
Fractional positions:
1 Sn 0.000 0.000 0.000
2 Co 0.000 0.000 0.500
3 Co 0.500 0.000 0.000
4 Co 0.000 0.500 0.000
5 K 0.500 0.500 0.500

SG ... Pm-3m, No. 221
ΔE_f ... 1023 meV per atom
D(E_F) ... 0.216 states/eV/atom



Number 6 is which compound? K2CoSi2



Among the records above, which one has the lowest D(E_F)? KCo3Sn



D(E_F) of number 6 (K2CoSi2)? 0.769 states/eV/atom



Copy entry 4 word for word.
The following is a DFT calculation (meta-GGA SCAN) of a crystal of KCo2Se relaxed with PBEsol.

a b c (Å): 3.135 3.135 7.357
angles (deg): 90.00 90.00 90.00
Fractional positions:
1 K 0.000 0.000 0.500
2 Co 0.000 0.000 0.016
3 Co 0.500 0.500 0.149
4 Se 0.500 0.500 0.835

SG ... P4mm, No. 99
D(E_F) ... 0.686 states/eV/atom
Formation energy from raw total energies ... 269.5 meV per atom